First-principles (PBE) data for an optimized crystal structure of AcCoPH, as listed in Alexandria.

Summary:
The crystal system is tetragonal. As for the electronic total energy: -5.8515 eV per atom. Its calculated volume is 16.5 Å³/atom.

abc: 3.9175 3.9175 8.6265
angles: 90.00 90.00 90.00
Closest atoms and distances in Å follow each position.
Fractional positions:
Co  0.0000  0.0000  0.0000  4 P 2.26
Co  0.5000  0.5000  0.0000  4 P 2.26
P  0.5000  0.0000  0.1316  4 Co 2.26
P  0.0000  0.5000  0.8684  4 Co 2.26
H  0.5000  0.5000  0.5000  4 Ac 2.55, 4 H 2.77
H  0.0000  0.0000  0.5000  4 Ac 2.55, 4 H 2.77
Ac  0.5000  0.0000  0.6894  4 H 2.55
Ac  0.0000  0.5000  0.3106  4 H 2.55


First-principles (PBE) data for an optimized crystal structure of Ac5CoHPd2, as listed in Alexandria.

Summary:
The crystal system is orthorhombic. As for the electronic total energy: -5.0296 eV per atom. Its calculated volume is 28.8 Å³/atom.

abc: 4.1950 9.4425 13.4352
angles: 90.00 90.00 102.83
Closest atoms and distances in Å follow each position.
Fractional positions:
Ac  0.2983  0.5965  0.6698  2 Co 2.90
Ac  0.3005  0.6009  0.3729  1 H 2.52
Ac  0.0495  0.0990  0.0105  2 H 2.45
Ac  0.9505  0.9010  0.5105  2 H 2.45
Ac  0.6420  0.2839  0.5229  1 Co 2.84
Ac  0.5011  0.0022  0.2657  1 H 2.42
Ac  0.4989  0.9978  0.7657  1 H 2.42
Ac  0.7017  0.4035  0.1698  2 Co 2.90
Ac  0.6995  0.3991  0.8729  1 H 2.52
Ac  0.3580  0.7161  0.0229  1 Co 2.84
Pd  0.8788  0.7575  0.2057  7 Ac 3.18-3.39
Pd  0.1194  0.2387  0.3357  7 Ac 3.17-3.42
Pd  0.8806  0.7613  0.8357  7 Ac 3.17-3.42
Pd  0.1212  0.2425  0.7057  7 Ac 3.18-3.39
H  0.4330  0.8660  0.4197  4 Ac 2.42-2.52
H  0.5670  0.1340  0.9197  4 Ac 2.42-2.52
Co  0.7964  0.5928  0.5210  6 Ac 2.84-2.90
Co  0.2036  0.4072  0.0210  6 Ac 2.84-2.90


First-principles (PBE) data for an optimized crystal structure of Ac2CoH6Pt, as listed in Alexandria.

Summary:
The crystal system is monoclinic. As for the electronic total energy: -4.6030 eV per atom. Its calculated volume is 11.7 Å³/atom.

abc: 5.4886 5.4887 5.5001
angles: 120.04 120.04 89.93
Closest atoms and distances in Å follow each position.
Fractional positions:
H  0.7853  0.7857  0.9917  1 Co 1.64
H  0.7852  0.2083  0.9931  1 Co 1.64
H  0.7834  0.7839  0.5685  1 Co 1.66
H  0.2077  0.2082  0.9944  1 Co 1.64
H  0.2078  0.7857  0.9931  1 Co 1.64
H  0.2076  0.2081  0.4147  1 Co 1.63
Pt  0.5309  0.5314  0.0596  1 H 1.98
Co  0.9979  0.9984  0.9959  6 H 1.63-1.66
Ac  0.2468  0.7468  0.4935  12 H 2.75-2.77
Ac  0.7463  0.2473  0.4935  12 H 2.75-2.77


First-principles (PBE) data for an optimized crystal structure of AcCoH6Rh, as listed in Alexandria.

Summary:
The crystal system is hexagonal. As for the electronic total energy: -4.6456 eV per atom. Its calculated volume is 9.6 Å³/atom.

abc: 4.7114 4.7114 4.4863
angles: 90.00 90.00 60.00
Closest atoms and distances in Å follow each position.
Fractional positions:
H  0.0166  0.4917  0.2640  1 Co 1.67, 1 Rh 1.78
H  0.4916  0.0166  0.2640  1 Co 1.67, 1 Rh 1.78
H  0.4917  0.4916  0.2640  1 Co 1.67, 1 Rh 1.78
H  0.4917  0.0166  0.7360  1 Co 1.67, 1 Rh 1.78
H  0.4916  0.4917  0.7359  1 Co 1.67, 1 Rh 1.78
H  0.0166  0.4917  0.7360  1 Co 1.67, 1 Rh 1.78
Ac  0.0000  0.0000  0.0000  12 H 2.64
Co  0.3333  0.3333  0.5000  6 H 1.67
Rh  0.6666  0.6667  0.5000  6 H 1.78


Which formula does entry 3 have? Ac2CoH6Pt


Copy entry 3 word for word.
First-principles (PBE) data for an optimized crystal structure of Ac2CoH6Pt, as listed in Alexandria.

Summary:
The crystal system is monoclinic. As for the electronic total energy: -4.6030 eV per atom. Its calculated volume is 11.7 Å³/atom.

abc: 5.4886 5.4887 5.5001
angles: 120.04 120.04 89.93
Closest atoms and distances in Å follow each position.
Fractional positions:
H  0.7853  0.7857  0.9917  1 Co 1.64
H  0.7852  0.2083  0.9931  1 Co 1.64
H  0.7834  0.7839  0.5685  1 Co 1.66
H  0.2077  0.2082  0.9944  1 Co 1.64
H  0.2078  0.7857  0.9931  1 Co 1.64
H  0.2076  0.2081  0.4147  1 Co 1.63
Pt  0.5309  0.5314  0.0596  1 H 1.98
Co  0.9979  0.9984  0.9959  6 H 1.63-1.66
Ac  0.2468  0.7468  0.4935  12 H 2.75-2.77
Ac  0.7463  0.2473  0.4935  12 H 2.75-2.77